# Sc6IrPt5 PBE-GGA optimized geometry
data_Sc6IrPt5
_symmetry_space_group_name_H-M 'P 1 2/m 1'
_symmetry_Int_Tables_number 10
_cell_length_a 4.678
_cell_length_b 6.514
_cell_length_c 7.353
_cell_angle_alpha 90.00
_cell_angle_beta 107.54
_cell_angle_gamma 90.00
loop_
_symmetry_equiv_pos_as_xyz
'x,y,z'
'-x,-y,-z'
'-x,y,-z'
'x,-y,z'
loop_
_atom_site_label
_atom_site_type_symbol
_atom_site_fract_x
_atom_site_fract_y
_atom_site_fract_z
Sc1 Sc 0.000 0.247 0.000
Sc2 Sc 0.337 0.248 0.671
Ir1 Ir 0.500 0.000 0.000
Pt1 Pt 0.164 0.000 0.332
Pt2 Pt 0.166 0.500 0.335
Pt3 Pt 0.500 0.500 0.000
# density	11.173	g cm⁻³
# ΔE_f	-1.2027	eV/atom